1.
ZrTlCr2 at its PBEsol-relaxed geometry, computed with meta-GGA SCAN.

Summary:
**Theoretical density**: 9706 kg/m³

Cell lengths 3.2707, 3.2707, 6.3911 Å; angles 90.00, 90.00, 90.00 degrees
Closest atoms and distances in Å follow each position.
Space group P4/mmm (No. 123)
Symmetry-distinct sites (fractional):
Zr (0.0000, 0.0000, 0.0000) [1 per cell]  8 Cr 2.79
Tl (0.0000, 0.0000, 0.5000) [1 per cell]  8 Cr 2.84
Cr (0.5000, 0.5000, 0.2433) [2 per cell]  4 Zr 2.79, 4 Tl 2.84, 1 Cr 3.11

2.
ZrTlCr2 at its PBEsol-relaxed geometry, computed with meta-GGA SCAN.

Summary:
**Theoretical density**: 9633 kg/m³

Cell lengths 3.9317, 3.9317, 8.9118 Å; angles 90.00, 90.00, 90.00 degrees
Closest atoms and distances in Å follow each position.
Space group I-4m2 (No. 119)
Symmetry-distinct sites (fractional):
Zr (0.0000, 0.0000, 0.0000) [2 per cell]  8 Cr 2.78-2.97, 4 Tl 2.97
Tl (0.0000, 0.5000, 0.7500) [2 per cell]  8 Cr 2.78-2.97, 4 Zr 2.97
Cr (0.0000, 0.0000, 0.5000) [2 per cell]  4 Zr 2.78, 4 Tl 2.97, 4 Cr 2.97
Cr (0.0000, 0.5000, 0.2500) [2 per cell]  4 Tl 2.78, 4 Cr 2.97, 4 Zr 2.97

Which of them is least stable? Easy: 1.

1.
ZrTlCr at its PBEsol-relaxed geometry, computed with meta-GGA SCAN.

Summary:
**Theoretical density**: 8014 kg/m³

Cell lengths 6.6046, 6.6046, 6.6046 Å; angles 90.00, 90.00, 90.00 degrees
Closest atoms and distances in Å follow each position.
Space group F-43m (No. 216)
Symmetry-distinct sites (fractional):
Zr (0.0000, 0.0000, 0.0000) [4 per cell]  4 Tl 2.86, 4 Cr 2.86
Tl (0.2500, 0.2500, 0.7500) [4 per cell]  4 Zr 2.86
Cr (0.2500, 0.2500, 0.2500) [4 per cell]  4 Zr 2.86

2.
ZrTlCr at its PBEsol-relaxed geometry, computed with meta-GGA SCAN.

Summary:
**Theoretical density**: 8729 kg/m³

Cell lengths 6.4191, 6.4191, 6.4191 Å; angles 90.00, 90.00, 90.00 degrees
Closest atoms and distances in Å follow each position.
Space group F-43m (No. 216)
Symmetry-distinct sites (fractional):
Zr (0.0000, 0.0000, 0.0000) [4 per cell]  4 Cr 2.78
Tl (0.0000, 0.0000, 0.5000) [4 per cell]  4 Cr 2.78
Cr (0.2500, 0.2500, 0.7500) [4 per cell]  4 Zr 2.78, 4 Tl 2.78

Which of them is least stable? Easy: 1.

1.
Cr3W4 at its PBEsol-relaxed geometry, computed with meta-GGA SCAN.

Summary:
**Theoretical density**: 15217 kg/m³

Cell lengths 4.7673, 4.7673, 4.9420 Å; angles 90.00, 90.00, 120.00 degrees
Closest atoms and distances in Å follow each position.
Space group P6/mmm (No. 191)
Symmetry-distinct sites (fractional):
Cr (0.0000, 0.5000, 0.0000) [3 per cell]  4 Cr 2.38
W (0.0000, 0.0000, 0.2514) [2 per cell]  2 W 2.46-2.48, 6 Cr 2.69
W (0.3333, 0.6667, 0.5000) [2 per cell]  9 W 2.75-3.01, 6 Cr 2.83

2.
Cr3W4 at its PBEsol-relaxed geometry, computed with meta-GGA SCAN.

Summary:
**Theoretical density**: 15260 kg/m³

Cell lengths 3.0285, 3.0285, 21.1497 Å; angles 90.00, 90.00, 90.00 degrees
Closest atoms and distances in Å follow each position.
Space group I4/mmm (No. 139)
Symmetry-distinct sites (fractional):
Cr (0.0000, 0.0000, 0.0000) [2 per cell]  8 W 2.61
Cr (0.0000, 0.0000, 0.2833) [4 per cell]  4 Cr 2.56, 5 W 2.59-2.86
W (0.0000, 0.0000, 0.1482) [4 per cell]  5 Cr 2.59-2.86, 4 W 2.70
W (0.0000, 0.0000, 0.4298) [4 per cell]  4 Cr 2.61, 4 W 2.70

Which of them is least stable? Easy: 1.